(1)
A geometry-optimized LaCrOF2 structure. Source: Alexandria via LeMat-Bulk, functional PBEsol.

The structure in CIF format:
```
data_LaCrOF2
_chemical_formula_sum 'La1 Cr1 O1 F2'
_cell_length_a 3.9397
_cell_length_b 4.1191
_cell_length_c 4.1191
_cell_angle_alpha 90.00
_cell_angle_beta 90.00
_cell_angle_gamma 90.00
_symmetry_space_group_name_H-M 'P 1'
_symmetry_Int_Tables_number 1
loop_
_symmetry_equiv_pos_as_xyz
'x,y,z'
loop_
_atom_site_label
_atom_site_type_symbol
_atom_site_fract_x
_atom_site_fract_y
_atom_site_fract_z
_atom_site_occupancy
F1 F 0.0000 0.0000 0.5000 1
F2 F 0.0000 0.5000 0.0000 1
O1 O 0.5000 0.0000 0.0000 1
Cr1 Cr 0.0000 0.0000 0.0000 1
La1 La 0.5000 0.5000 0.5000 1
```

---

(2)
A geometry-optimized Li3CrF6 structure. Source: Alexandria via LeMat-Bulk, functional PBEsol.

The structure in CIF format:
```
data_Li3CrF6
_chemical_formula_sum 'Li18 Cr6 F36'
_cell_length_a 8.3184
_cell_length_b 8.3184
_cell_length_c 9.9460
_cell_angle_alpha 85.45
_cell_angle_beta 85.45
_cell_angle_gamma 61.96
_symmetry_space_group_name_H-M 'P 1'
_symmetry_Int_Tables_number 1
loop_
_symmetry_equiv_pos_as_xyz
'x,y,z'
loop_
_atom_site_label
_atom_site_type_symbol
_atom_site_fract_x
_atom_site_fract_y
_atom_site_fract_z
_atom_site_occupancy
F1 F 0.4300 0.1056 0.3863 1
F2 F 0.7278 0.7720 0.3422 1
F3 F 0.4084 0.4294 0.9362 1
F4 F 0.9060 0.2393 0.5659 1
F5 F 0.0940 0.7607 0.4341 1
F6 F 0.5840 0.8967 0.1092 1
F7 F 0.5607 0.2439 0.1938 1
F8 F 0.4294 0.4084 0.4362 1
F9 F 0.2472 0.5691 0.1956 1
F10 F 0.5706 0.5916 0.5638 1
F11 F 0.4309 0.7528 0.3044 1
F12 F 0.8967 0.5840 0.6092 1
F13 F 0.7561 0.4393 0.3062 1
F14 F 0.2280 0.2722 0.1578 1
F15 F 0.2439 0.5607 0.6938 1
F16 F 0.4160 0.1033 0.8908 1
F17 F 0.2393 0.9060 0.0659 1
F18 F 0.0675 0.0786 0.8317 1
F19 F 0.2395 0.9154 0.5621 1
F20 F 0.9214 0.9325 0.6683 1
F21 F 0.8944 0.5700 0.1137 1
F22 F 0.2722 0.2280 0.6578 1
F23 F 0.0846 0.7605 0.9379 1
F24 F 0.0786 0.0675 0.3317 1
F25 F 0.5916 0.5706 0.0638 1
F26 F 0.1033 0.4160 0.3908 1
F27 F 0.5691 0.2472 0.6956 1
F28 F 0.1056 0.4300 0.8863 1
F29 F 0.7720 0.7278 0.8422 1
F30 F 0.7528 0.4309 0.8044 1
F31 F 0.7607 0.0940 0.9341 1
F32 F 0.4393 0.7561 0.8062 1
F33 F 0.5700 0.8944 0.6137 1
F34 F 0.9325 0.9214 0.1683 1
F35 F 0.7605 0.0846 0.4379 1
F36 F 0.9154 0.2395 0.0621 1
Li1 Li 0.3440 0.0600 0.0682 1
Li2 Li 0.4665 0.8694 0.4498 1
Li3 Li 0.1863 0.8137 0.2500 1
Li4 Li 0.7074 0.0077 0.2695 1
Li5 Li 0.6731 0.3691 0.4658 1
Li6 Li 0.6309 0.3269 0.0342 1
Li7 Li 0.5335 0.1306 0.5502 1
Li8 Li 0.0600 0.3440 0.5682 1
Li9 Li 0.9400 0.6560 0.4318 1
Li10 Li 0.2926 0.9923 0.7305 1
Li11 Li 0.3269 0.6309 0.5342 1
Li12 Li 0.8694 0.4665 0.9498 1
Li13 Li 0.9923 0.2926 0.2305 1
Li14 Li 0.1306 0.5335 0.0502 1
Li15 Li 0.6560 0.9400 0.9318 1
Li16 Li 0.0077 0.7074 0.7695 1
Li17 Li 0.3691 0.6731 0.9658 1
Li18 Li 0.8137 0.1863 0.7500 1
Cr1 Cr 0.6653 0.6601 0.7059 1
Cr2 Cr 0.0000 0.0000 0.0000 1
Cr3 Cr 0.6601 0.6653 0.2059 1
Cr4 Cr 0.3347 0.3399 0.2941 1
Cr5 Cr 0.0000 0.0000 0.5000 1
Cr6 Cr 0.3399 0.3347 0.7941 1
```

---

(3)
A geometry-optimized Li2CrF4 structure. Source: Alexandria via LeMat-Bulk, functional PBEsol.

The structure in CIF format:
```
data_Li2CrF4
_chemical_formula_sum 'Li8 Cr4 F16'
_cell_length_a 3.9427
_cell_length_b 8.7909
_cell_length_c 8.6631
_cell_angle_alpha 92.69
_cell_angle_beta 90.00
_cell_angle_gamma 90.00
_symmetry_space_group_name_H-M 'P 1'
_symmetry_Int_Tables_number 1
loop_
_symmetry_equiv_pos_as_xyz
'x,y,z'
loop_
_atom_site_label
_atom_site_type_symbol
_atom_site_fract_x
_atom_site_fract_y
_atom_site_fract_z
_atom_site_occupancy
F1 F 0.5000 0.1608 0.1058 1
F2 F 0.0000 0.1390 0.8654 1
F3 F 0.0000 0.1292 0.4026 1
F4 F 0.5000 0.6512 0.6237 1
F5 F 0.5000 0.3552 0.3973 1
F6 F 0.5000 0.8846 0.3665 1
F7 F 0.5000 0.3919 0.8579 1
F8 F 0.5000 0.8668 0.9149 1
F9 F 0.0000 0.3444 0.6422 1
F10 F 0.0000 0.8504 0.1605 1
F11 F 0.0000 0.6183 0.8327 1
F12 F 0.5000 0.6177 0.1018 1
F13 F 0.0000 0.8896 0.5919 1
F14 F 0.0000 0.4062 0.0961 1
F15 F 0.0000 0.5745 0.3778 1
F16 F 0.5000 0.1072 0.6579 1
Li1 Li 0.5000 0.3898 0.0888 1
Li2 Li 0.0000 0.1139 0.6219 1
Li3 Li 0.0000 0.9244 0.3781 1
Li4 Li 0.5000 0.6460 0.8818 1
Li5 Li 0.5000 0.8872 0.5899 1
Li6 Li 0.0000 0.6151 0.1566 1
Li7 Li 0.5000 0.3333 0.6318 1
Li8 Li 0.0000 0.3963 0.8689 1
Cr1 Cr 0.0000 0.3415 0.3604 1
Cr2 Cr 0.0000 0.6236 0.6048 1
Cr3 Cr 0.5000 0.8810 0.1400 1
Cr4 Cr 0.5000 0.1206 0.8884 1
```

---

(4)
A geometry-optimized Li2CrF structure. Source: Alexandria via LeMat-Bulk, functional PBEsol.

The structure in CIF format:
```
data_Li2CrF
_chemical_formula_sum 'Li4 Cr2 F2'
_cell_length_a 5.6836
_cell_length_b 5.6836
_cell_length_c 5.6836
_cell_angle_alpha 92.25
_cell_angle_beta 118.71
_cell_angle_gamma 118.71
_symmetry_space_group_name_H-M 'P 1'
_symmetry_Int_Tables_number 1
loop_
_symmetry_equiv_pos_as_xyz
'x,y,z'
loop_
_atom_site_label
_atom_site_type_symbol
_atom_site_fract_x
_atom_site_fract_y
_atom_site_fract_z
_atom_site_occupancy
Li1 Li 0.1766 0.3016 0.6250 1
Li2 Li 0.8234 0.4484 0.1250 1
Li3 Li 0.3234 0.8750 0.6984 1
Li4 Li 0.6766 0.3750 0.5516 1
Cr1 Cr 0.0000 0.0000 0.0000 1
Cr2 Cr 0.5000 0.7500 0.2500 1
F1 F 0.0000 0.5000 0.5000 1
F2 F 0.5000 0.2500 0.7500 1
```

---

(5)
A geometry-optimized SrLiCrF6 structure. Source: Alexandria via LeMat-Bulk, functional PBEsol.

The structure in CIF format:
```
data_SrLiCrF6
_chemical_formula_sum 'Sr2 Li2 Cr2 F12'
_cell_length_a 5.1515
_cell_length_b 5.1515
_cell_length_c 10.3725
_cell_angle_alpha 90.00
_cell_angle_beta 90.00
_cell_angle_gamma 120.00
_symmetry_space_group_name_H-M 'P 1'
_symmetry_Int_Tables_number 1
loop_
_symmetry_equiv_pos_as_xyz
'x,y,z'
loop_
_atom_site_label
_atom_site_type_symbol
_atom_site_fract_x
_atom_site_fract_y
_atom_site_fract_z
_atom_site_occupancy
Sr1 Sr 0.0000 0.0000 0.0000 1
Sr2 Sr 0.0000 0.0000 0.5000 1
F1 F 0.0168 0.3745 0.1456 1
F2 F 0.6423 0.0168 0.8544 1
F3 F 0.6255 0.9832 0.3544 1
F4 F 0.0168 0.6423 0.3544 1
F5 F 0.3577 0.9832 0.1456 1
F6 F 0.6255 0.6423 0.1456 1
F7 F 0.9832 0.3577 0.6456 1
F8 F 0.3745 0.3577 0.8544 1
F9 F 0.6423 0.6255 0.6456 1
F10 F 0.3577 0.3745 0.3544 1
F11 F 0.3745 0.0168 0.6456 1
F12 F 0.9832 0.6255 0.8544 1
Li1 Li 0.6667 0.3333 0.2500 1
Li2 Li 0.3333 0.6667 0.7500 1
Cr1 Cr 0.3333 0.6667 0.2500 1
Cr2 Cr 0.6667 0.3333 0.7500 1
```

---

(6)
A geometry-optimized MgCrF3 structure. Source: Alexandria via LeMat-Bulk, functional PBEsol.

The structure in CIF format:
```
data_MgCrF3
_chemical_formula_sum 'Mg1 Cr1 F3'
_cell_length_a 3.9172
_cell_length_b 3.9172
_cell_length_c 3.9172
_cell_angle_alpha 90.00
_cell_angle_beta 90.00
_cell_angle_gamma 90.00
_symmetry_space_group_name_H-M 'P 1'
_symmetry_Int_Tables_number 1
loop_
_symmetry_equiv_pos_as_xyz
'x,y,z'
loop_
_atom_site_label
_atom_site_type_symbol
_atom_site_fract_x
_atom_site_fract_y
_atom_site_fract_z
_atom_site_occupancy
F1 F 0.5000 0.0000 0.0000 1
F2 F 0.0000 0.5000 0.0000 1
F3 F 0.0000 0.0000 0.5000 1
Mg1 Mg 0.0000 0.0000 0.0000 1
Cr1 Cr 0.5000 0.5000 0.5000 1
```

---

(7)
A geometry-optimized MgCrF2 structure. Source: Alexandria via LeMat-Bulk, functional PBEsol.

The structure in CIF format:
```
data_MgCrF2
_chemical_formula_sum 'Mg1 Cr1 F2'
_cell_length_a 3.0262
_cell_length_b 3.0262
_cell_length_c 8.3099
_cell_angle_alpha 79.51
_cell_angle_beta 79.51
_cell_angle_gamma 60.00
_symmetry_space_group_name_H-M 'P 1'
_symmetry_Int_Tables_number 1
loop_
_symmetry_equiv_pos_as_xyz
'x,y,z'
loop_
_atom_site_label
_atom_site_type_symbol
_atom_site_fract_x
_atom_site_fract_y
_atom_site_fract_z
_atom_site_occupancy
Cr1 Cr 0.0000 0.0000 0.0000 1
Mg1 Mg 0.5000 0.5000 0.5000 1
F1 F 0.8724 0.8724 0.3827 1
F2 F 0.1276 0.1276 0.6173 1
```

---

(8)
A geometry-optimized RbMgCrF6 structure. Source: Alexandria via LeMat-Bulk, functional PBEsol.

The structure in CIF format:
```
data_RbMgCrF6
_chemical_formula_sum 'Rb2 Mg2 Cr2 F12'
_cell_length_a 7.1717
_cell_length_b 7.2186
_cell_length_c 7.1937
_cell_angle_alpha 119.89
_cell_angle_beta 90.00
_cell_angle_gamma 119.79
_symmetry_space_group_name_H-M 'P 1'
_symmetry_Int_Tables_number 1
loop_
_symmetry_equiv_pos_as_xyz
'x,y,z'
loop_
_atom_site_label
_atom_site_type_symbol
_atom_site_fract_x
_atom_site_fract_y
_atom_site_fract_z
_atom_site_occupancy
F1 F 0.0656 0.1312 0.3156 1
F2 F 0.6865 0.7558 0.9270 1
F3 F 0.6865 0.7558 0.3287 1
F4 F 0.9344 0.8688 0.6844 1
F5 F 0.3228 0.6456 0.0728 1
F6 F 0.9307 0.2442 0.6713 1
F7 F 0.3135 0.2442 0.0730 1
F8 F 0.9307 0.2442 0.0730 1
F9 F 0.0693 0.7558 0.9270 1
F10 F 0.6772 0.3544 0.9272 1
F11 F 0.3135 0.2442 0.6713 1
F12 F 0.0693 0.7558 0.3287 1
Rb1 Rb 0.3965 0.7929 0.6465 1
Rb2 Rb 0.6035 0.2071 0.3535 1
Cr1 Cr 0.0000 0.0000 0.5000 1
Cr2 Cr 0.0000 0.0000 0.0000 1
Mg1 Mg 0.0000 0.5000 0.0000 1
Mg2 Mg 0.5000 0.5000 0.0000 1
```

---

(9)
A geometry-optimized CrMoN2F structure. Source: Alexandria via LeMat-Bulk, functional PBEsol.

The structure in CIF format:
```
data_CrMoN2F
_chemical_formula_sum 'Cr1 Mo1 N2 F1'
_cell_length_a 3.9175
_cell_length_b 3.9175
_cell_length_c 3.9233
_cell_angle_alpha 90.00
_cell_angle_beta 90.00
_cell_angle_gamma 90.00
_symmetry_space_group_name_H-M 'P 1'
_symmetry_Int_Tables_number 1
loop_
_symmetry_equiv_pos_as_xyz
'x,y,z'
loop_
_atom_site_label
_atom_site_type_symbol
_atom_site_fract_x
_atom_site_fract_y
_atom_site_fract_z
_atom_site_occupancy
Cr1 Cr 0.5000 0.5000 0.5000 1
N1 N 0.0000 0.5000 0.0000 1
N2 N 0.5000 0.0000 0.0000 1
F1 F 0.0000 0.0000 0.5000 1
Mo1 Mo 0.0000 0.0000 0.0000 1
```

---

(10)
A geometry-optimized CrSiN2F structure. Source: Alexandria via LeMat-Bulk, functional PBEsol.

The structure in CIF format:
```
data_CrSiN2F
_chemical_formula_sum 'Cr1 Si1 N2 F1'
_cell_length_a 3.3409
_cell_length_b 4.1538
_cell_length_c 4.1538
_cell_angle_alpha 90.00
_cell_angle_beta 90.00
_cell_angle_gamma 90.00
_symmetry_space_group_name_H-M 'P 1'
_symmetry_Int_Tables_number 1
loop_
_symmetry_equiv_pos_as_xyz
'x,y,z'
loop_
_atom_site_label
_atom_site_type_symbol
_atom_site_fract_x
_atom_site_fract_y
_atom_site_fract_z
_atom_site_occupancy
N1 N 0.0000 0.5000 0.0000 1
N2 N 0.0000 0.0000 0.5000 1
Cr1 Cr 0.5000 0.5000 0.5000 1
F1 F 0.0000 0.0000 0.0000 1
Si1 Si 0.5000 0.0000 0.0000 1
```

---

Values for formation energy from raw total energies, eV per atom, ordered as above
-2.22 -2.86 -2.55 -0.71 -3.18 -2.23 -1.84 -3.02 -0.12 1.54
Values for uncorrected energy, eV/atom, ordered as above
-7.161 -5.629 -5.672 -4.737 -6.021 -5.779 -5.795 -5.748 -8.314 -5.459